1) The following is a PBEsol calculation of a relaxed CrTe2Cl crystal, from Alexandria via LeMat-Bulk.

Summary:
space-group type: No. 122

CIF file:
```
data_CrTe2Cl
_cell_length_a 6.678
_cell_length_b 7.279
_cell_length_c 6.678
_cell_angle_alpha 62.69
_cell_angle_beta 90.00
_cell_angle_gamma 117.31
_space_group_name_H-M_alt 'P 1'
_space_group_IT_number 1
_space_group_name_Hall 'P 1'
loop_
_atom_site_label
_atom_site_type_symbol
_atom_site_fract_x
_atom_site_fract_y
_atom_site_fract_z
_atom_site_occupancy
Cr1 Cr 0.750 0.500 0.750 1
Cr2 Cr 0.000 0.000 0.000 1
Te1 Te 0.702 0.750 0.375 1
Te2 Te 0.048 0.750 0.875 1
Te3 Te 0.875 0.250 0.702 1
Te4 Te 0.375 0.250 0.048 1
Cl1 Cl 0.250 0.500 0.250 1
Cl2 Cl 0.500 0.000 0.500 1
```

---

2) The following is a PBEsol calculation of a relaxed CrTe2Cl crystal, from Alexandria via LeMat-Bulk.

Summary:
space-group type: No. 123

CIF file:
```
data_CrTe2Cl
_cell_length_a 4.150
_cell_length_b 4.150
_cell_length_c 5.782
_cell_angle_alpha 90.00
_cell_angle_beta 90.00
_cell_angle_gamma 90.00
_space_group_name_H-M_alt 'P 1'
_space_group_IT_number 1
_space_group_name_Hall 'P 1'
loop_
_atom_site_label
_atom_site_type_symbol
_atom_site_fract_x
_atom_site_fract_y
_atom_site_fract_z
_atom_site_occupancy
Cr1 Cr 0.000 0.000 0.500 1
Te1 Te 0.000 0.500 0.000 1
Te2 Te 0.500 0.000 0.000 1
Cl1 Cl 0.500 0.500 0.500 1
```

---

Which is most stable, and by how much? 1), by 90 meV per atom.

---

1) The following is a PBEsol calculation of a relaxed CrTeCl2 crystal, from Alexandria via LeMat-Bulk.

Summary:
space-group type: No. 10

CIF file:
```
data_CrTeCl2
_cell_length_a 3.173
_cell_length_b 3.241
_cell_length_c 10.158
_cell_angle_alpha 97.22
_cell_angle_beta 90.00
_cell_angle_gamma 90.00
_space_group_name_H-M_alt 'P 1'
_space_group_IT_number 1
_space_group_name_Hall 'P 1'
loop_
_atom_site_label
_atom_site_type_symbol
_atom_site_fract_x
_atom_site_fract_y
_atom_site_fract_z
_atom_site_occupancy
Cr1 Cr 0.500 0.000 0.500 1
Te1 Te 0.500 0.500 0.000 1
Cl1 Cl 0.000 0.838 0.650 1
Cl2 Cl 0.000 0.162 0.350 1
```

---

2) The following is a PBEsol calculation of a relaxed CrTeCl2 crystal, from Alexandria via LeMat-Bulk.

Summary:
space-group type: No. 216

CIF file:
```
data_CrTeCl2
_cell_length_a 4.798
_cell_length_b 4.798
_cell_length_c 4.798
_cell_angle_alpha 60.00
_cell_angle_beta 60.00
_cell_angle_gamma 60.00
_space_group_name_H-M_alt 'P 1'
_space_group_IT_number 1
_space_group_name_Hall 'P 1'
loop_
_atom_site_label
_atom_site_type_symbol
_atom_site_fract_x
_atom_site_fract_y
_atom_site_fract_z
_atom_site_occupancy
Cr1 Cr 0.500 0.500 0.500 1
Te1 Te 0.250 0.250 0.250 1
Cl1 Cl 0.000 0.000 0.000 1
Cl2 Cl 0.750 0.750 0.750 1
```

---

3) The following is a PBEsol calculation of a relaxed CrTeCl2 crystal, from Alexandria via LeMat-Bulk.

Summary:
space-group type: No. 166

CIF file:
```
data_CrTeCl2
_cell_length_a 3.354
_cell_length_b 3.354
_cell_length_c 10.582
_cell_angle_alpha 80.88
_cell_angle_beta 80.88
_cell_angle_gamma 60.00
_space_group_name_H-M_alt 'P 1'
_space_group_IT_number 1
_space_group_name_Hall 'P 1'
loop_
_atom_site_label
_atom_site_type_symbol
_atom_site_fract_x
_atom_site_fract_y
_atom_site_fract_z
_atom_site_occupancy
Cr1 Cr 0.500 0.500 0.500 1
Te1 Te 0.000 0.000 0.000 1
Cl1 Cl 0.880 0.880 0.360 1
Cl2 Cl 0.120 0.120 0.640 1
```

---

4) The following is a PBEsol calculation of a relaxed CrTeCl2 crystal, from Alexandria via LeMat-Bulk.

Summary:
space-group type: No. 71

CIF file:
```
data_CrTeCl2
_cell_length_a 3.068
_cell_length_b 5.906
_cell_length_c 6.402
_cell_angle_alpha 117.47
_cell_angle_beta 103.86
_cell_angle_gamma 90.00
_space_group_name_H-M_alt 'P 1'
_space_group_IT_number 1
_space_group_name_Hall 'P 1'
loop_
_atom_site_label
_atom_site_type_symbol
_atom_site_fract_x
_atom_site_fract_y
_atom_site_fract_z
_atom_site_occupancy
Cr1 Cr 0.000 0.500 0.000 1
Te1 Te 0.500 0.000 0.000 1
Cl1 Cl 0.659 0.659 0.317 1
Cl2 Cl 0.341 0.341 0.683 1
```

---

Which is most stable, and by how much? 1), by 14 meV per atom.

---

1) The following is a PBEsol calculation of a relaxed TlCrCl2 crystal, from Alexandria via LeMat-Bulk.

Summary:
space-group type: No. 123

CIF file:
```
data_TlCrCl2
_cell_length_a 3.544
_cell_length_b 5.023
_cell_length_c 5.023
_cell_angle_alpha 90.00
_cell_angle_beta 90.00
_cell_angle_gamma 90.00
_space_group_name_H-M_alt 'P 1'
_space_group_IT_number 1
_space_group_name_Hall 'P 1'
loop_
_atom_site_label
_atom_site_type_symbol
_atom_site_fract_x
_atom_site_fract_y
_atom_site_fract_z
_atom_site_occupancy
Cr1 Cr 0.500 0.500 0.500 1
Tl1 Tl 0.500 0.000 0.000 1
Cl1 Cl 0.000 0.000 0.500 1
Cl2 Cl 0.000 0.500 0.000 1
```

---

2) The following is a PBEsol calculation of a relaxed TlCrCl2 crystal, from Alexandria via LeMat-Bulk.

Summary:
space-group type: No. 65

CIF file:
```
data_TlCrCl2
_cell_length_a 3.447
_cell_length_b 3.527
_cell_length_c 9.075
_cell_angle_alpha 90.00
_cell_angle_beta 90.00
_cell_angle_gamma 119.26
_space_group_name_H-M_alt 'P 1'
_space_group_IT_number 1
_space_group_name_Hall 'P 1'
loop_
_atom_site_label
_atom_site_type_symbol
_atom_site_fract_x
_atom_site_fract_y
_atom_site_fract_z
_atom_site_occupancy
Cr1 Cr 0.500 0.000 0.500 1
Tl1 Tl 0.500 0.000 0.000 1
Cl1 Cl 0.000 0.000 0.680 1
Cl2 Cl 0.000 0.000 0.320 1
```

---

Which is most stable, and by how much? 2), by 282 meV per atom.

---

1) The following is a PBEsol calculation of a relaxed TlCrCl3 crystal, from Alexandria via LeMat-Bulk.

Summary:
space-group type: No. 221

CIF file:
```
data_TlCrCl3
_cell_length_a 4.856
_cell_length_b 4.856
_cell_length_c 4.856
_cell_angle_alpha 90.00
_cell_angle_beta 90.00
_cell_angle_gamma 90.00
_space_group_name_H-M_alt 'P 1'
_space_group_IT_number 1
_space_group_name_Hall 'P 1'
loop_
_atom_site_label
_atom_site_type_symbol
_atom_site_fract_x
_atom_site_fract_y
_atom_site_fract_z
_atom_site_occupancy
Cr1 Cr 0.000 0.000 0.000 1
Tl1 Tl 0.500 0.500 0.500 1
Cl1 Cl 0.000 0.500 0.000 1
Cl2 Cl 0.000 0.000 0.500 1
Cl3 Cl 0.500 0.000 0.000 1
```

---

2) The following is a PBEsol calculation of a relaxed TlCrCl3 crystal, from Alexandria via LeMat-Bulk.

Summary:
space-group type: No. 221

CIF file:
```
data_TlCrCl3
_cell_length_a 5.325
_cell_length_b 5.325
_cell_length_c 5.325
_cell_angle_alpha 90.00
_cell_angle_beta 90.00
_cell_angle_gamma 90.00
_space_group_name_H-M_alt 'P 1'
_space_group_IT_number 1
_space_group_name_Hall 'P 1'
loop_
_atom_site_label
_atom_site_type_symbol
_atom_site_fract_x
_atom_site_fract_y
_atom_site_fract_z
_atom_site_occupancy
Cr1 Cr 0.500 0.500 0.500 1
Tl1 Tl 0.000 0.000 0.000 1
Cl1 Cl 0.000 0.500 0.000 1
Cl2 Cl 0.000 0.000 0.500 1
Cl3 Cl 0.500 0.000 0.000 1
```

---

Which is most stable, and by how much? 1), by 982 meV per atom.

---

1) The following is a PBEsol calculation of a relaxed CrW2Cl crystal, from Alexandria via LeMat-Bulk.

Summary:
space-group type: No. 25

CIF file:
```
data_CrW2Cl
_cell_length_a 3.090
_cell_length_b 3.604
_cell_length_c 6.496
_cell_angle_alpha 90.00
_cell_angle_beta 90.00
_cell_angle_gamma 90.00
_space_group_name_H-M_alt 'P 1'
_space_group_IT_number 1
_space_group_name_Hall 'P 1'
loop_
_atom_site_label
_atom_site_type_symbol
_atom_site_fract_x
_atom_site_fract_y
_atom_site_fract_z
_atom_site_occupancy
Cr1 Cr 0.500 0.500 0.808 1
W1 W 0.000 0.000 0.964 1
W2 W 0.500 0.500 0.149 1
Cl1 Cl 0.000 0.000 0.578 1
```

---

2) The following is a PBEsol calculation of a relaxed CrW2Cl crystal, from Alexandria via LeMat-Bulk.

Summary:
space-group type: No. 160

CIF file:
```
data_CrW2Cl
_cell_length_a 2.883
_cell_length_b 2.883
_cell_length_c 8.413
_cell_angle_alpha 80.13
_cell_angle_beta 80.13
_cell_angle_gamma 60.00
_space_group_name_H-M_alt 'P 1'
_space_group_IT_number 1
_space_group_name_Hall 'P 1'
loop_
_atom_site_label
_atom_site_type_symbol
_atom_site_fract_x
_atom_site_fract_y
_atom_site_fract_z
_atom_site_occupancy
Cr1 Cr 0.249 0.249 0.253 1
W1 W 0.994 0.994 0.019 1
W2 W 0.751 0.751 0.747 1
Cl1 Cl 0.506 0.506 0.481 1
```

---

Which is most stable, and by how much? 2), by 194 meV per atom.

---

1) The following is a PBEsol calculation of a relaxed ZnCrCl crystal, from Alexandria via LeMat-Bulk.

Summary:
space-group type: No. 216

CIF file:
```
data_ZnCrCl
_cell_length_a 4.433
_cell_length_b 4.433
_cell_length_c 4.433
_cell_angle_alpha 60.00
_cell_angle_beta 60.00
_cell_angle_gamma 60.00
_space_group_name_H-M_alt 'P 1'
_space_group_IT_number 1
_space_group_name_Hall 'P 1'
loop_
_atom_site_label
_atom_site_type_symbol
_atom_site_fract_x
_atom_site_fract_y
_atom_site_fract_z
_atom_site_occupancy
Cr1 Cr 0.250 0.250 0.250 1
Zn1 Zn 0.000 0.000 0.000 1
Cl1 Cl 0.500 0.500 0.500 1
```

---

2) The following is a PBEsol calculation of a relaxed ZnCrCl crystal, from Alexandria via LeMat-Bulk.

Summary:
space-group type: No. 216

CIF file:
```
data_ZnCrCl
_cell_length_a 4.521
_cell_length_b 4.521
_cell_length_c 4.521
_cell_angle_alpha 60.00
_cell_angle_beta 60.00
_cell_angle_gamma 60.00
_space_group_name_H-M_alt 'P 1'
_space_group_IT_number 1
_space_group_name_Hall 'P 1'
loop_
_atom_site_label
_atom_site_type_symbol
_atom_site_fract_x
_atom_site_fract_y
_atom_site_fract_z
_atom_site_occupancy
Cr1 Cr 0.500 0.500 0.500 1
Zn1 Zn 0.250 0.250 0.250 1
Cl1 Cl 0.000 0.000 0.000 1
```

---

Which is most stable, and by how much? 1), by 309 meV per atom.

---

1) The following is a PBEsol calculation of a relaxed CsPb2Cl5 crystal, from Alexandria via LeMat-Bulk.

Summary:
space-group type: No. 1

CIF file:
```
data_CsPb2Cl5
_cell_length_a 5.484
_cell_length_b 7.731
_cell_length_c 7.711
_cell_angle_alpha 96.57
_cell_angle_beta 92.23
_cell_angle_gamma 109.21
_space_group_name_H-M_alt 'P 1'
_space_group_IT_number 1
_space_group_name_Hall 'P 1'
loop_
_atom_site_label
_atom_site_type_symbol
_atom_site_fract_x
_atom_site_fract_y
_atom_site_fract_z
_atom_site_occupancy
Pb1 Pb 0.223 0.679 0.039 1
Pb2 Pb 0.978 0.091 0.017 1
Cs1 Cs 0.559 0.326 0.534 1
Cl1 Cl 0.119 0.931 0.302 1
Cl2 Cl 0.433 0.042 0.900 1
Cl3 Cl 0.083 0.409 0.269 1
Cl4 Cl 0.759 0.688 0.900 1
Cl5 Cl 0.089 0.360 0.783 1
```

---

2) The following is a PBEsol calculation of a relaxed CsPb2Cl5 crystal, from Alexandria via LeMat-Bulk.

Summary:
space-group type: No. 140

CIF file:
```
data_CsPb2Cl5
_cell_length_a 8.003
_cell_length_b 8.003
_cell_length_c 9.262
_cell_angle_alpha 115.60
_cell_angle_beta 115.60
_cell_angle_gamma 90.00
_space_group_name_H-M_alt 'P 1'
_space_group_IT_number 1
_space_group_name_Hall 'P 1'
loop_
_atom_site_label
_atom_site_type_symbol
_atom_site_fract_x
_atom_site_fract_y
_atom_site_fract_z
_atom_site_occupancy
Cs1 Cs 0.750 0.750 0.500 1
Cs2 Cs 0.250 0.250 0.500 1
Pb1 Pb 0.164 0.664 0.000 1
Pb2 Pb 0.336 0.164 0.000 1
Pb3 Pb 0.664 0.836 0.000 1
Pb4 Pb 0.836 0.336 0.000 1
Cl1 Cl 0.000 0.000 0.000 1
Cl2 Cl 0.500 0.500 0.000 1
Cl3 Cl 0.027 0.223 0.750 1
Cl4 Cl 0.223 0.723 0.750 1
Cl5 Cl 0.527 0.027 0.750 1
Cl6 Cl 0.723 0.527 0.750 1
Cl7 Cl 0.277 0.473 0.250 1
Cl8 Cl 0.473 0.973 0.250 1
Cl9 Cl 0.777 0.277 0.250 1
Cl10 Cl 0.973 0.777 0.250 1
```

---

Which is most stable, and by how much? 2), by 61 meV per atom.

---

1) The following is a PBEsol calculation of a relaxed Cu3Cl crystal, from Alexandria via LeMat-Bulk.

Summary:
space-group type: No. 25

CIF file:
```
data_Cu3Cl
_cell_length_a 3.207
_cell_length_b 3.469
_cell_length_c 5.142
_cell_angle_alpha 90.00
_cell_angle_beta 90.00
_cell_angle_gamma 90.00
_space_group_name_H-M_alt 'P 1'
_space_group_IT_number 1
_space_group_name_Hall 'P 1'
loop_
_atom_site_label
_atom_site_type_symbol
_atom_site_fract_x
_atom_site_fract_y
_atom_site_fract_z
_atom_site_occupancy
Cl1 Cl 0.000 0.000 0.031 1
Cu1 Cu 0.500 0.000 0.456 1
Cu2 Cu 0.500 0.500 0.776 1
Cu3 Cu 0.000 0.500 0.403 1
```

---

2) The following is a PBEsol calculation of a relaxed Cu3Cl crystal, from Alexandria via LeMat-Bulk.

Summary:
space-group type: No. 123

CIF file:
```
data_Cu3Cl
_cell_length_a 3.039
_cell_length_b 3.039
_cell_length_c 5.771
_cell_angle_alpha 90.00
_cell_angle_beta 90.00
_cell_angle_gamma 90.00
_space_group_name_H-M_alt 'P 1'
_space_group_IT_number 1
_space_group_name_Hall 'P 1'
loop_
_atom_site_label
_atom_site_type_symbol
_atom_site_fract_x
_atom_site_fract_y
_atom_site_fract_z
_atom_site_occupancy
Cl1 Cl 0.000 0.000 0.000 1
Cu1 Cu 0.500 0.500 0.286 1
Cu2 Cu 0.000 0.000 0.500 1
Cu3 Cu 0.500 0.500 0.714 1
```

---

Which is most stable, and by how much? 2), by 62 meV per atom.